Computed, not measured: crystalline LiIn2Ag at its relaxed geometry at the PBEsol level of DFT.

```
LiIn2Ag
1.0
3.073 0.000 0.000
0.000 4.105 0.000
0.000 0.000 6.126
In Li Ag
2 1 1
Cartesian
0.000 0.000 4.610
0.000 0.000 1.517
1.537 2.053 0.000
1.537 2.053 3.063
```

Total energy: -2.98 eV per atom
SG: Pmmm, No. 47

Computed, not measured: crystalline Li2In2GeS6 at its relaxed geometry at the PBEsol level of DFT.

```
Li2In2GeS6
1.0
-2.362 5.740 3.309
-4.147 -3.288 -4.633
-1.172 -9.134 7.782
In S Li Ge
4 12 4 2
Cartesian
-1.530 -3.275 4.321
-4.281 -4.601 9.666
-1.240 -0.207 2.118
-5.918 -5.658 3.282
-4.292 -5.474 1.431
-5.987 -7.774 4.574
-1.609 0.728 -0.138
-2.984 -1.692 3.070
-4.429 -1.783 -0.990
-2.847 -5.110 5.401
-5.648 0.881 0.870
-6.014 -3.549 4.592
-5.588 -5.295 7.676
-3.740 2.438 3.103
-2.748 0.847 6.138
-4.116 -2.058 7.087
-5.707 -9.494 2.720
-4.348 -0.727 4.989
-5.091 -7.660 6.953
-3.635 -3.062 1.026
-6.271 -1.015 -0.049
-4.577 -4.015 6.200
```

Energy relative to the elements, uncorrected: -770.5 meV/atom
SG: Cc, No. 9

Computed, not measured: crystalline Al2PBr at its relaxed geometry at the PBEsol level of DFT.

```
Al2PBr
1.0
-2.087 0.405 -3.022
1.102 -3.314 -1.205
-4.575 -2.546 2.818
Al P Br
2 1 1
Cartesian
-4.065 -2.262 2.504
-1.871 -2.222 -1.264
-4.605 -3.744 0.420
-1.881 -1.047 1.159
```

Energy relative to the elements, uncorrected: -46.7 meV/atom
SG: P4mm, No. 99

Computed, not measured: crystalline CeGa3Cu at its relaxed geometry at the PBEsol level of DFT.

```
CeGa3Cu
1.0
-1.410 -2.676 2.830
2.424 -2.958 -1.589
3.292 4.207 2.588
Ga Ce Cu
3 1 1
Cartesian
3.112 -0.784 0.809
1.399 -2.491 1.374
2.907 1.064 2.455
0.000 0.000 0.000
1.195 -0.643 3.019
```

Total energy: -4.65 eV per atom
SG: I-4m2, No. 119